Compound: Zn3Cu3As4O16
Source: Alexandria via LeMat-Bulk
Functional: PBE
Structure: optimized geometry

Calculated values
Raw total energy   -284.5 eV per cell
Formation energy from raw total energies   -1.0851 eV per atom
Space-group type   P2_1/c
D(E_F)   0.46 states/eV per cell

Lattice parameters (Å, degrees): 5.1864 8.7153 14.9155 102.03 90.00 90.00
Last column: nearest neighbours and their distance in Å.
Fractional positions:
Zn: 0.4463 0.5175 0.2161  3 O 1.92-2.06
O: 0.8127 0.8851 0.8699  1 As 1.72
As: 0.4971 0.1872 0.6015  4 O 1.69-1.79
As: 0.0029 0.6872 0.1015  4 O 1.69-1.79
Zn: 0.5537 0.4825 0.7839  3 O 1.92-2.06
O: 0.3127 0.6149 0.6301  1 As 1.72
O: 0.6838 0.9826 0.0744  1 As 1.69
O: 0.4048 0.3070 0.7002  1 As 1.69
Cu: 0.9971 0.3299 0.1223  5 O 1.93-2.14
As: 0.9856 0.6175 0.6490  4 O 1.69-1.76
Zn: 0.0537 0.0175 0.7161  3 O 1.92-2.06
As: 0.0144 0.3825 0.3510  4 O 1.69-1.76
O: 0.2135 0.5211 0.0916  1 As 1.79, 1 Cu 2.00
O: 0.8840 0.8117 0.6546  1 As 1.76
O: 0.0925 0.4316 0.2454  1 As 1.76, 1 Cu 1.93
O: 0.4075 0.9316 0.7454  1 As 1.76, 1 Cu 1.93
O: 0.9048 0.1930 0.7998  1 As 1.69
As: 0.5029 0.8128 0.3985  4 O 1.69-1.79
O: 0.5769 0.7380 0.4939  1 As 1.73
Zn: 0.5000 0.5000 0.5000  6 O 2.00-2.21
As: 0.5144 0.1175 0.1490  4 O 1.69-1.76
Zn: 0.9463 0.9825 0.2839  3 O 1.92-2.06
Cu: 0.5029 0.8299 0.6223  5 O 1.93-2.14
O: 0.8162 0.4826 0.5744  1 As 1.69
Cu: 0.0029 0.6701 0.8777  5 O 1.93-2.14
O: 0.4231 0.2620 0.5061  1 As 1.73
O: 0.1160 0.1883 0.3454  1 As 1.76
O: 0.7865 0.4789 0.9084  1 As 1.79, 1 Cu 2.00
O: 0.6967 0.6102 0.1037  1 As 1.73, 1 Cu 1.93
O: 0.6160 0.3117 0.1546  1 As 1.76
As: 0.4856 0.8825 0.8510  4 O 1.69-1.76
O: 0.2865 0.0211 0.5916  1 As 1.79, 1 Cu 2.00
O: 0.0769 0.7620 0.0061  1 As 1.73
O: 0.1838 0.5174 0.4256  1 As 1.69
Cu: 0.0000 0.0000 0.5000  4 O 1.93-2.00
O: 0.7135 0.9789 0.4084  1 As 1.79, 1 Cu 2.00
O: 0.9231 0.2380 0.9939  1 As 1.73
O: 0.5925 0.0684 0.2546  1 As 1.76, 1 Cu 1.93
O: 0.3033 0.3898 0.8963  1 As 1.73, 1 Cu 1.93
O: 0.1967 0.8898 0.3963  1 As 1.73, 1 Cu 1.93
O: 0.5952 0.6930 0.2998  1 As 1.69
Cu: 0.5000 0.5000 0.0000  4 O 1.93-2.00
O: 0.8033 0.1102 0.6037  1 As 1.73, 1 Cu 1.93
O: 0.0952 0.8070 0.2002  1 As 1.69
Cu: 0.4971 0.1701 0.3777  5 O 1.93-2.14
O: 0.1873 0.1149 0.1301  1 As 1.72
O: 0.9075 0.5684 0.7546  1 As 1.76, 1 Cu 1.93
O: 0.3162 0.0174 0.9256  1 As 1.69
Zn: 0.0000 0.0000 0.0000  6 O 2.00-2.21
As: 0.9971 0.3128 0.8985  4 O 1.69-1.79
O: 0.3840 0.6883 0.8454  1 As 1.76
O: 0.6873 0.3851 0.3699  1 As 1.72



Compound: ZrCuAsO
Source: Alexandria via LeMat-Bulk
Functional: PBE
Structure: optimized geometry

Calculated values
Raw total energy   -56.3 eV per cell
Formation energy from raw total energies   -1.4734 eV per atom
Space-group type   P4/nmm
D(E_F)   0.61 states/eV per cell

Lattice parameters (Å, degrees): 3.6659 3.6659 8.5527 90.00 90.00 90.00
Last column: nearest neighbours and their distance in Å.
Fractional positions:
Cu: 0.0000 0.0000 0.5000  4 As 2.51, 4 Cu 2.59
O: 0.0000 0.0000 0.0000  4 Zr 2.22
As: 0.0000 0.5000 0.3003  4 Cu 2.51
As: 0.5000 0.0000 0.6997  4 Cu 2.51
Zr: 0.0000 0.5000 0.8538  4 O 2.22
Cu: 0.5000 0.5000 0.5000  4 As 2.51, 4 Cu 2.59
O: 0.5000 0.5000 0.0000  4 Zr 2.22
Zr: 0.5000 0.0000 0.1462  4 O 2.22



Compound: CuAsOs2
Source: Alexandria via LeMat-Bulk
Functional: PBE
Structure: optimized geometry

Calculated values
Raw total energy   -29.9 eV per cell
Space-group type   R3m
D(E_F)   1.98 states/eV per cell
Calculated formation energy   0.31 eV per atom

Lattice parameters (Å, degrees): 8.5942 8.5942 8.5942 18.85 18.85 18.85
Last column: nearest neighbours and their distance in Å.
Fractional positions:
Cu: 0.7511 0.7511 0.7511  3 As 2.65, 3 Os 2.71, 6 Cu 2.81
Os: 0.2494 0.2494 0.2494  3 As 2.64, 9 Os 2.65-2.81
As: 0.5006 0.5006 0.5006  3 Os 2.64, 3 Cu 2.65, 6 As 2.81
Os: 0.9989 0.9989 0.9989  9 Os 2.65-2.81, 3 Cu 2.71



Compound: Cu2AsOs
Source: Alexandria via LeMat-Bulk
Functional: PBE
Structure: optimized geometry

Calculated values
Raw total energy   -22.4 eV per cell
Space-group type   P4/mmm
D(E_F)   3.86 states/eV per cell
Calculated formation energy   0.43 eV per atom

Lattice parameters (Å, degrees): 2.6911 2.6911 7.9666 90.00 90.00 90.00
Last column: nearest neighbours and their distance in Å.
Fractional positions:
As: 0.5000 0.5000 0.7500  4 As 2.69, 8 Cu 2.84
Os: 0.5000 0.5000 0.2500  8 Cu 2.67, 4 Os 2.69
Cu: 0.0000 0.0000 0.0148  4 Os 2.67, 4 Cu 2.69, 4 As 2.84
Cu: 0.0000 0.0000 0.4852  4 Os 2.67, 4 Cu 2.69, 4 As 2.84



Compound: Cu2AsOs
Source: Alexandria via LeMat-Bulk
Functional: PBE
Structure: optimized geometry

Calculated values
Raw total energy   -22.8 eV per cell
Space-group type   R3m
D(E_F)   2.32 states/eV per cell
Calculated formation energy   0.31 eV per atom

Lattice parameters (Å, degrees): 8.1774 8.1774 8.1774 20.26 20.26 20.26
Last column: nearest neighbours and their distance in Å.
Fractional positions:
As: 0.7531 0.7531 0.7531  3 Os 2.50, 3 Cu 2.71
Cu: 0.9975 0.9975 0.9975  3 Cu 2.53, 3 As 2.71
Cu: 0.2516 0.2516 0.2516  3 Cu 2.53, 3 Os 2.67
Os: 0.4977 0.4977 0.4977  3 As 2.50, 3 Cu 2.67



Compound: CuAsOs2
Source: Alexandria via LeMat-Bulk
Functional: PBE
Structure: optimized geometry

Calculated values
Raw total energy   -29.2 eV per cell
Space-group type   R-3m
D(E_F)   4.46 states/eV per cell
Calculated formation energy   0.50 eV per atom

Lattice parameters (Å, degrees): 8.1963 8.1963 8.1963 20.21 20.21 20.21
Last column: nearest neighbours and their distance in Å.
Fractional positions:
As: 0.2500 0.2500 0.2500  6 Os 2.53
Os: 0.9957 0.9957 0.9957  3 As 2.53, 3 Cu 2.69
Os: 0.5043 0.5043 0.5043  3 As 2.53, 3 Cu 2.69
Cu: 0.7500 0.7500 0.7500  6 Os 2.69, 6 Cu 2.88



Compound: CuAsOs2
Source: Alexandria via LeMat-Bulk
Functional: PBE
Structure: optimized geometry

Calculated values
Raw total energy   -29.4 eV per cell
Space-group type   P2/m
D(E_F)   2.77 states/eV per cell
Calculated formation energy   0.46 eV per atom

Lattice parameters (Å, degrees): 3.8826 2.8838 5.4086 72.32 90.00 90.00
Last column: nearest neighbours and their distance in Å.
Fractional positions:
Os: 0.0000 0.3702 0.4939  2 As 2.43, 1 Os 2.64, 2 Cu 2.72
Cu: 0.5000 0.7500 0.7500  2 As 2.65, 8 Os 2.72-2.79, 2 Cu 2.88
Os: 0.0000 0.1298 0.0061  2 As 2.43, 1 Os 2.64, 2 Cu 2.72
As: 0.5000 0.2500 0.2500  4 Os 2.43, 2 Cu 2.65



Compound: CuAsOs2
Source: Alexandria via LeMat-Bulk
Functional: PBE
Structure: optimized geometry

Calculated values
Raw total energy   -29.9 eV per cell
Space-group type   P4mm
D(E_F)   2.37 states/eV per cell
Calculated formation energy   0.33 eV per atom

Lattice parameters (Å, degrees): 2.8260 2.8260 7.5306 90.00 90.00 90.00
Last column: nearest neighbours and their distance in Å.
Fractional positions:
Cu: 0.5000 0.5000 0.7689  4 Os 2.70, 4 Cu 2.83, 4 As 2.93
As: 0.0000 0.0000 0.4839  4 Os 2.73, 4 As 2.83, 4 Cu 2.93
Os: 0.5000 0.5000 0.2369  8 Os 2.63-2.83, 4 As 2.73
Os: 0.0000 0.0000 0.0103  8 Os 2.63-2.83, 4 Cu 2.70



Compound: CuAsOs2
Source: Alexandria via LeMat-Bulk
Functional: PBE
Structure: optimized geometry

Calculated values
Raw total energy   -29.0 eV per cell
Space-group type   Imm2
D(E_F)   3.34 states/eV per cell
Calculated formation energy   0.54 eV per atom

Lattice parameters (Å, degrees): 5.3007 5.3007 5.3007 147.54 133.73 57.65
Last column: nearest neighbours and their distance in Å.
Fractional positions:
Os: 0.7285 0.2285 0.5000  2 As 2.49, 4 Cu 2.60, 2 Os 2.77
Cu: 0.2772 0.7772 0.5000  6 Os 2.60-2.81, 2 As 2.65
Os: 0.9809 0.9809 0.0000  4 As 2.57, 2 Os 2.77, 2 Cu 2.81
As: 0.5134 0.5134 0.0000  6 Os 2.49-2.57, 2 Cu 2.65



Compound: CuAsOs2
Source: Alexandria via LeMat-Bulk
Functional: PBE
Structure: optimized geometry

Calculated values
Raw total energy   -28.8 eV per cell
Space-group type   Pmmm
D(E_F)   3.64 states/eV per cell
Calculated formation energy   0.61 eV per atom

Lattice parameters (Å, degrees): 2.8345 4.6807 4.3960 90.00 90.00 90.00
Last column: nearest neighbours and their distance in Å.
Fractional positions:
Os: 0.5000 0.5000 0.0000  4 Cu 2.62, 6 Os 2.74-2.83
Os: 0.0000 0.0000 0.0000  4 As 2.62, 6 Os 2.74-2.83
As: 0.5000 0.0000 0.5000  4 Os 2.62, 4 Cu 2.74, 2 As 2.83
Cu: 0.0000 0.5000 0.5000  4 Os 2.62, 4 As 2.74, 2 Cu 2.83



Compound: Cu2AsOs
Source: Alexandria via LeMat-Bulk
Functional: PBE
Structure: optimized geometry

Calculated values
Raw total energy   -22.8 eV per cell
Space-group type   I-4m2
D(E_F)   2.88 states/eV per cell
Calculated formation energy   0.31 eV per atom

Lattice parameters (Å, degrees): 4.6350 4.6350 4.6350 132.08 132.06 70.12
Last column: nearest neighbours and their distance in Å.
Fractional positions:
Os: 0.5000 0.5000 0.0000  8 Cu 2.66-2.67, 4 As 2.67
Cu: 0.7500 0.2500 0.5000  4 As 2.66, 4 Cu 2.67, 4 Os 2.67
Cu: 0.9999 0.9999 0.0000  4 Os 2.66, 4 Cu 2.67, 4 As 2.67
As: 0.2501 0.7501 0.5000  8 Cu 2.66-2.67, 4 Os 2.67



Compound: CuAs2Os
Source: Alexandria via LeMat-Bulk
Functional: PBE
Structure: optimized geometry

Calculated values
Raw total energy   -23.0 eV per cell
Space-group type   Cmm2
D(E_F)   2.70 states/eV per cell
Distance to the lowest polymorph of the same formula   0.97 eV/f.u.
Calculated formation energy   0.42 eV per atom

Lattice parameters (Å, degrees): 2.8302 2.8302 9.7009 90.00 90.00 118.06
Last column: nearest neighbours and their distance in Å.
Fractional positions:
As: 0.5000 0.5000 0.3033  2 Cu 2.50
Os: 0.5000 0.5000 0.7376  2 As 2.49, 2 Cu 2.62
Cu: 0.0000 0.0000 0.5129  2 As 2.50, 2 Os 2.62
As: 0.0000 0.0000 0.9462  2 Os 2.49



Compound: CuAsOs2
Source: Alexandria via LeMat-Bulk
Functional: PBE
Structure: optimized geometry

Calculated values
Raw total energy   -29.0 eV per cell
Space-group type   I-4m2
D(E_F)   3.09 states/eV per cell
Calculated formation energy   0.56 eV per atom

Lattice parameters (Å, degrees): 4.7023 4.7023 4.7023 131.73 131.73 70.66
Last column: nearest neighbours and their distance in Å.
Fractional positions:
Cu: 0.7500 0.2500 0.5000  4 As 2.72, 8 Os 2.72
Os: 0.0000 0.0000 0.0000  4 Os 2.72, 4 Cu 2.72, 4 As 2.72
Os: 0.2500 0.7500 0.5000  4 As 2.72, 4 Os 2.72, 4 Cu 2.72
As: 0.5000 0.5000 0.0000  4 Cu 2.72, 8 Os 2.72



Compound: Cu2AsOs
Source: Alexandria via LeMat-Bulk
Functional: PBE
Structure: optimized geometry

Calculated values
Raw total energy   -22.6 eV per cell
Space-group type   F-43m
D(E_F)   3.99 states/eV per cell
Calculated formation energy   0.36 eV per atom

Lattice parameters (Å, degrees): 4.2537 4.2537 4.2537 60.00 60.00 60.00
Last column: nearest neighbours and their distance in Å.
Fractional positions:
Os: 0.7500 0.7500 0.7500  4 As 2.60, 4 Cu 2.60
As: 0.5000 0.5000 0.5000  4 Os 2.60, 4 Cu 2.60
Cu: 0.2500 0.2500 0.2500  4 As 2.60, 4 Cu 2.60
Cu: 0.0000 0.0000 0.0000  4 Os 2.60, 4 Cu 2.60



Compound: CuAs3Os
Source: Alexandria via LeMat-Bulk
Functional: PBE
Structure: optimized geometry

Calculated values
Raw total energy   -24.7 eV per cell
Space-group type   Pm-3m
D(E_F)   3.17 states/eV per cell
Distance to the lowest polymorph of the same formula   0.00 eV/f.u.
Calculated formation energy   0.92 eV per atom

Lattice parameters (Å, degrees): 4.8086 4.8086 4.8086 90.00 90.00 90.00
Last column: nearest neighbours and their distance in Å.
Fractional positions:
Os: 0.0000 0.0000 0.0000  6 As 2.40
As: 0.5000 0.0000 0.0000  2 Os 2.40
As: 0.0000 0.0000 0.5000  2 Os 2.40
As: 0.0000 0.5000 0.0000  2 Os 2.40
Cu: 0.5000 0.5000 0.5000  12 As 3.40



Compound: CuAsOs3
Source: Alexandria via LeMat-Bulk
Functional: PBE
Structure: optimized geometry

Calculated values
Raw total energy   -31.6 eV per cell
Space-group type   Pm-3m
D(E_F)   7.14 states/eV per cell
Distance to the lowest polymorph of the same formula   1.76 eV/f.u.
Calculated formation energy   2.16 eV per atom

Lattice parameters (Å, degrees): 4.4643 4.4643 4.4643 90.00 90.00 90.00
Last column: nearest neighbours and their distance in Å.
Fractional positions:
Cu: 0.0000 0.0000 0.0000  6 Os 2.23
As: 0.5000 0.5000 0.5000  12 Os 3.16
Os: 0.5000 0.0000 0.0000  2 Cu 2.23
Os: 0.0000 0.5000 0.0000  2 Cu 2.23
Os: 0.0000 0.0000 0.5000  2 Cu 2.23



Compound: Cu2AsOs
Source: Alexandria via LeMat-Bulk
Functional: PBE
Structure: optimized geometry

Calculated values
Raw total energy   -22.6 eV per cell
Space-group type   P2/m
D(E_F)   2.99 states/eV per cell
Calculated formation energy   0.36 eV per atom

Lattice parameters (Å, degrees): 2.9724 4.1867 5.3857 54.88 90.00 90.00
Last column: nearest neighbours and their distance in Å.
Fractional positions:
Cu: 0.5000 0.5000 0.0000  4 Cu 2.57, 2 Os 2.69, 4 As 2.71
Os: 0.5000 0.5000 0.5000  4 As 2.57, 6 Cu 2.69-2.71
As: 0.0000 0.0000 0.5000  4 Os 2.57, 6 Cu 2.69-2.71
Cu: 0.0000 0.0000 0.0000  4 Cu 2.57, 2 As 2.69, 4 Os 2.71



Compound: Cu2AsOs
Source: Alexandria via LeMat-Bulk
Functional: PBE
Structure: optimized geometry

Calculated values
Raw total energy   -43.8 eV per cell
Space-group type   I-42d
D(E_F)   4.58 states/eV per cell
Calculated formation energy   0.54 eV per atom

Lattice parameters (Å, degrees): 6.9984 6.9984 5.5018 50.50 50.50 90.00
Last column: nearest neighbours and their distance in Å.
Fractional positions:
Os: 0.7500 0.2500 0.5000  2 As 2.40, 4 Cu 2.61
Cu: 0.3750 0.3883 0.7500  2 Cu 2.41, 2 As 2.48, 2 Os 2.61
Cu: 0.8750 0.8617 0.7500  2 Cu 2.41, 2 As 2.48, 2 Os 2.61
As: 0.2500 0.7500 0.5000  2 Os 2.40, 4 Cu 2.48
As: 0.5000 0.5000 0.0000  2 Os 2.40, 4 Cu 2.48
Cu: 0.6117 0.1250 0.2500  2 Cu 2.41, 2 As 2.48, 2 Os 2.61
Os: 0.0000 0.0000 0.0000  2 As 2.40, 4 Cu 2.61
Cu: 0.1383 0.6250 0.2500  2 Cu 2.41, 2 As 2.48, 2 Os 2.61



Compound: CuAs2Os
Source: Alexandria via LeMat-Bulk
Functional: PBE
Structure: optimized geometry

Calculated values
Raw total energy   -22.6 eV per cell
Space-group type   Cmmm
D(E_F)   2.47 states/eV per cell
Distance to the lowest polymorph of the same formula   1.34 eV/f.u.
Calculated formation energy   0.51 eV per atom

Lattice parameters (Å, degrees): 2.9618 2.9618 8.4635 90.00 90.00 120.53
Last column: nearest neighbours and their distance in Å.
Fractional positions:
Os: 0.5000 0.5000 0.7500  4 As 2.55
Cu: 0.5000 0.5000 0.2500  4 As 2.60
As: 0.0000 0.0000 0.9962  2 Os 2.55, 2 Cu 2.60
As: 0.0000 0.0000 0.5038  2 Os 2.55, 2 Cu 2.60



Compound: CuAs2Os
Source: Alexandria via LeMat-Bulk
Functional: PBE
Structure: optimized geometry

Calculated values
Raw total energy   -22.6 eV per cell
Space-group type   I-4m2
D(E_F)   2.10 states/eV per cell
Distance to the lowest polymorph of the same formula   1.33 eV/f.u.
Calculated formation energy   0.51 eV per atom

Lattice parameters (Å, degrees): 5.0019 5.0019 5.0019 135.45 135.45 64.83
Last column: nearest neighbours and their distance in Å.
Fractional positions:
As: 0.0000 0.0000 0.0000  4 Cu 2.68, 4 As 2.84, 4 Os 2.84
As: 0.2500 0.7500 0.5000  4 Os 2.68, 4 As 2.84, 4 Cu 2.84
Os: 0.7500 0.2500 0.5000  8 As 2.68-2.84, 4 Cu 2.84
Cu: 0.5000 0.5000 0.0000  8 As 2.68-2.84, 4 Os 2.84